Record 1
The following is a DFT calculation (GGA-PBEsol) of a relaxed As4P5 crystal.

a b c (Å): 3.1717 7.6094 7.6094
angles (deg): 87.51 77.97 77.97
Positions (direct):
1 P 0.6914 0.6171 0.0000
2 P 0.6914 0.0000 0.6171
3 P 0.3086 0.0000 0.3829
4 P 0.3086 0.3829 0.0000
5 P 0.0000 0.0000 0.0000
6 As 0.7631 0.2369 0.2369
7 As 0.0000 0.7631 0.2369
8 As 0.0000 0.2369 0.7631
9 As 0.2369 0.7631 0.7631

Space group ... No. 139
Energy relative to the elements ... 3.42 eV/f.u.



Record 2
The following is a DFT calculation (GGA-PBEsol) of a relaxed K2RbLiHf crystal.

a b c (Å): 6.7939 6.7939 6.8848
angles (deg): 90.00 90.00 90.00
Positions (direct):
1 K 0.5000 0.0000 0.0000
2 K 0.0000 0.5000 0.0000
3 Rb 0.0000 0.0000 0.5000
4 Li 0.5000 0.5000 0.5000
5 Hf 0.0000 0.0000 0.0000

Space group ... No. 123
Energy relative to the elements ... 6.29 eV/f.u.



Record 3
The following is a DFT calculation (GGA-PBEsol) of a relaxed MnTe3Cl crystal.

a b c (Å): 5.2552 5.2552 5.2552
angles (deg): 90.00 90.00 90.00
Positions (direct):
1 Te 0.0000 0.5000 0.0000
2 Te 0.0000 0.0000 0.5000
3 Te 0.5000 0.0000 0.0000
4 Mn 0.5000 0.5000 0.5000
5 Cl 0.0000 0.0000 0.0000

Space group ... No. 221
Uncorrected formation energy ... 0.94 eV per atom



Record 4
The following is a DFT calculation (GGA-PBEsol) of a relaxed AgSeBr2 crystal.

a b c (Å): 3.6401 3.6401 8.2635
angles (deg): 77.28 77.28 60.00
Positions (direct):
1 Br 0.7387 0.7387 0.7838
2 Br 0.2613 0.2613 0.2162
3 Se 0.5000 0.5000 0.5000
4 Ag 0.0000 0.0000 0.0000

Space group ... No. 166
Uncorrected formation energy ... 0.25 eV per atom
Energy above the lowest structure with this stoichiometry ... 0.76 eV/f.u.